Below is a relaxed structure of SrCuPd2Au, with properties calculated at the PBE-GGA level.

## Properties
Uncorrected energy in eV per atom: -3.3329
SG: P4/mmm, No. 123
Crystal system: tetragonal
Calculated formation energy in eV per atom: 0.5553
Calculated density in kg/m3: 6457
Fermi-level density of states in states/eV/cell: 2.12

abc: 5.0802 5.0802 5.5902
angles: 90.00 90.00 90.00
Closest atoms and distances in Å follow each position.
Sites, in units of the cell vectors:
1 Sr 0.0000 0.0000 0.0000  2 Au 2.80
2 Cu 0.5000 0.5000 0.0000  4 Sr 3.59, 8 Pd 3.78
3 Pd 0.0000 0.5000 0.5000  2 Au 2.54
4 Pd 0.5000 0.0000 0.5000  2 Au 2.54
5 Au 0.0000 0.0000 0.5000  4 Pd 2.54, 2 Sr 2.80

Below is a relaxed structure of LaOsBr2, with properties calculated at the PBE-GGA level.

## Properties
Uncorrected energy in eV per atom: -4.8237
SG: Pmmm, No. 47
Crystal system: orthorhombic
ΔE_f (raw) in eV per atom: 0.052
Calculated density in kg/m3: 8804
Fermi-level density of states in states/eV/cell: 4.03

abc: 3.6381 4.6578 5.4425
angles: 90.00 90.00 90.00
Closest atoms and distances in Å follow each position.
Sites, in units of the cell vectors:
1 La 0.0000 0.0000 0.0000  4 Br 2.96, 4 Os 3.27
2 Os 0.5000 0.0000 0.5000  4 Br 2.96, 4 La 3.27
3 Br 0.0000 0.5000 0.5000  4 Os 2.96, 4 Br 3.27
4 Br 0.5000 0.5000 0.0000  4 La 2.96, 4 Br 3.27

Below is a relaxed structure of Mn2P, with properties calculated at the PBE-GGA level.

## Properties
Uncorrected energy in eV per atom: -8.0593
SG: Imm2, No. 44
Crystal system: orthorhombic
Calculated formation energy in eV per atom: -0.1430
Calculated density in kg/m3: 6749
Fermi-level density of states in states/eV/cell: 3.22

abc: 3.9835 3.9835 3.9835
angles: 138.91 121.43 74.03
Closest atoms and distances in Å follow each position.
Sites, in units of the cell vectors:
1 Mn 0.0000 0.0000 0.0000  4 Mn 2.31-2.40, 5 P 2.48-2.55
2 Mn 0.6942 0.1942 0.5000  4 Mn 2.31-2.40, 4 P 2.33-2.35
3 P 0.4005 0.4005 0.0000  9 Mn 2.33-2.55